# MgZrNi2

A PBEsol-optimized structure of MgZrNi2 (SCAN, Alexandria).

Cell: 3.883 3.392 9.397 Å, 90.00 90.00 90.00°
Fractional coordinates of all 8 atoms:
Mg (0.000, 0.000, 0.000)
Mg (0.000, 0.500, 0.500)
Zr (0.500, 0.000, 0.288)
Zr (0.500, 0.500, 0.788)
Ni (0.000, 0.000, 0.721)
Ni (0.000, 0.500, 0.221)
Ni (0.500, 0.000, 0.573)
Ni (0.500, 0.500, 0.073)

Output
formation enthalpy at 0 K: -0.29 eV/atom

***

# Mg2ZrNi

A PBEsol-optimized structure of Mg2ZrNi (SCAN, Alexandria).

Cell: 2.973 2.973 28.145 Å, 90.00 90.00 120.00°
Fractional coordinates of all 12 atoms:
Mg (0.000, 0.000, 0.236)
Mg (0.000, 0.000, 0.764)
Mg (0.333, 0.667, 0.430)
Mg (0.333, 0.667, 0.903)
Mg (0.667, 0.333, 0.097)
Mg (0.667, 0.333, 0.570)
Zr (0.000, 0.000, 0.000)
Zr (0.333, 0.667, 0.667)
Zr (0.667, 0.333, 0.333)
Ni (0.000, 0.000, 0.500)
Ni (0.333, 0.667, 0.167)
Ni (0.667, 0.333, 0.833)

Output
formation enthalpy at 0 K: 0.13 eV/atom

***

# Mg2ZrNi

A PBEsol-optimized structure of Mg2ZrNi (SCAN, Alexandria).

Cell: 2.904 4.553 5.500 Å, 90.00 104.53 90.00°
Fractional coordinates of all 4 atoms:
Mg (0.161, 0.000, 0.274)
Mg (0.839, 0.000, 0.726)
Zr (0.500, 0.500, 0.000)
Ni (0.000, 0.500, 0.500)

Output
formation enthalpy at 0 K: 0.07 eV/atom

***

# MgO2

A PBEsol-optimized structure of MgO2 (SCAN, Alexandria).

Cell: 3.169 3.169 10.385 Å, 90.00 90.00 120.00°
Fractional coordinates of all 9 atoms:
Mg (0.000, 0.000, 0.000)
Mg (0.333, 0.667, 0.667)
Mg (0.667, 0.333, 0.333)
O (0.000, 0.000, 0.429)
O (0.000, 0.000, 0.571)
O (0.333, 0.667, 0.096)
O (0.333, 0.667, 0.238)
O (0.667, 0.333, 0.762)
O (0.667, 0.333, 0.904)

Output
E_form (uncorrected): -1840 meV per atom

***

# MgO2

A PBEsol-optimized structure of MgO2 (SCAN, Alexandria).

Cell: 4.845 4.845 4.845 Å, 90.00 90.00 90.00°
Fractional coordinates of all 12 atoms:
Mg (0.000, 0.000, 0.000)
Mg (0.000, 0.500, 0.500)
Mg (0.500, 0.000, 0.500)
Mg (0.500, 0.500, 0.000)
O (0.089, 0.589, 0.911)
O (0.089, 0.911, 0.411)
O (0.411, 0.089, 0.911)
O (0.411, 0.411, 0.411)
O (0.589, 0.589, 0.589)
O (0.589, 0.911, 0.089)
O (0.911, 0.089, 0.589)
O (0.911, 0.411, 0.089)

Output
E_form (uncorrected): -1927 meV per atom

***

# Mg2OsO

A PBEsol-optimized structure of Mg2OsO (SCAN, Alexandria).

Cell: 5.879 5.879 7.140 Å, 90.00 90.00 90.00°
Fractional coordinates of all 16 atoms:
Mg (0.144, 0.750, 0.125)
Mg (0.250, 0.144, 0.875)
Mg (0.250, 0.356, 0.375)
Mg (0.356, 0.750, 0.625)
Mg (0.644, 0.250, 0.625)
Mg (0.750, 0.644, 0.375)
Mg (0.750, 0.856, 0.875)
Mg (0.856, 0.250, 0.125)
Os (0.000, 0.000, 0.500)
Os (0.000, 0.500, 0.750)
Os (0.500, 0.000, 0.250)
Os (0.500, 0.500, 0.000)
O (0.000, 0.000, 0.000)
O (0.000, 0.500, 0.250)
O (0.500, 0.000, 0.750)
O (0.500, 0.500, 0.500)

Output
E_form (uncorrected): -417 meV per atom

***

# MgP4O11

A PBEsol-optimized structure of MgP4O11 (SCAN, Alexandria).

Cell: 5.406 22.370 7.500 Å, 90.00 111.13 90.00°
Fractional coordinates of all 64 atoms:
Mg (0.000, 0.114, 0.136)
Mg (0.000, 0.386, 0.636)
Mg (0.000, 0.614, 0.364)
Mg (0.000, 0.886, 0.864)
P (0.310, 0.571, 0.805)
P (0.310, 0.929, 0.305)
P (0.326, 0.179, 0.558)
P (0.326, 0.321, 0.058)
P (0.399, 0.537, 0.200)
P (0.399, 0.963, 0.700)
P (0.403, 0.195, 0.972)
P (0.403, 0.305, 0.472)
P (0.597, 0.695, 0.528)
P (0.597, 0.805, 0.028)
P (0.601, 0.037, 0.300)
P (0.601, 0.463, 0.800)
P (0.674, 0.679, 0.942)
P (0.674, 0.821, 0.442)
P (0.690, 0.071, 0.695)
P (0.690, 0.429, 0.195)
O (0.079, 0.574, 0.627)
O (0.079, 0.926, 0.127)
O (0.091, 0.156, 0.403)
O (0.091, 0.344, 0.903)
O (0.199, 0.180, 0.053)
O (0.199, 0.320, 0.553)
O (0.215, 0.548, 0.300)
O (0.215, 0.952, 0.800)
O (0.229, 0.546, 0.971)
O (0.229, 0.954, 0.471)
O (0.257, 0.195, 0.739)
O (0.257, 0.305, 0.239)
O (0.339, 0.066, 0.256)
O (0.339, 0.434, 0.756)
O (0.341, 0.664, 0.478)
O (0.341, 0.836, 0.978)
O (0.427, 0.636, 0.875)
O (0.427, 0.864, 0.375)
O (0.440, 0.036, 0.700)
O (0.440, 0.464, 0.200)
O (0.470, 0.234, 0.508)
O (0.470, 0.266, 0.008)
O (0.530, 0.734, 0.992)
O (0.530, 0.766, 0.492)
O (0.560, 0.536, 0.800)
O (0.560, 0.964, 0.300)
O (0.573, 0.136, 0.625)
O (0.573, 0.364, 0.125)
O (0.659, 0.164, 0.022)
O (0.659, 0.336, 0.522)
O (0.661, 0.566, 0.244)
O (0.661, 0.934, 0.744)
O (0.743, 0.695, 0.761)
O (0.743, 0.805, 0.261)
O (0.771, 0.046, 0.529)
O (0.771, 0.454, 0.029)
O (0.785, 0.048, 0.200)
O (0.785, 0.452, 0.700)
O (0.801, 0.680, 0.447)
O (0.801, 0.820, 0.947)
O (0.909, 0.656, 0.097)
O (0.909, 0.844, 0.597)
O (0.921, 0.074, 0.873)
O (0.921, 0.426, 0.373)

Output
E_form (uncorrected): -2476 meV per atom

***

# MgP2O6

A PBEsol-optimized structure of MgP2O6 (SCAN, Alexandria).

Cell: 7.211 7.211 10.023 Å, 113.50 113.50 70.06°
Fractional coordinates of all 36 atoms:
Mg (0.000, 0.500, 0.500)
Mg (0.053, 0.947, 0.750)
Mg (0.500, 0.000, 0.000)
Mg (0.947, 0.053, 0.250)
P (0.254, 0.731, 0.024)
P (0.269, 0.746, 0.476)
P (0.292, 0.313, 0.804)
P (0.313, 0.292, 0.304)
P (0.687, 0.708, 0.696)
P (0.708, 0.687, 0.196)
P (0.731, 0.254, 0.524)
P (0.746, 0.269, 0.976)
O (0.092, 0.855, 0.098)
O (0.122, 0.281, 0.326)
O (0.145, 0.908, 0.402)
O (0.185, 0.347, 0.653)
O (0.192, 0.709, 0.582)
O (0.209, 0.503, 0.935)
O (0.281, 0.122, 0.826)
O (0.291, 0.808, 0.918)
O (0.316, 0.530, 0.348)
O (0.347, 0.185, 0.153)
O (0.470, 0.684, 0.152)
O (0.497, 0.791, 0.565)
O (0.503, 0.209, 0.435)
O (0.530, 0.316, 0.848)
O (0.653, 0.815, 0.847)
O (0.684, 0.470, 0.652)
O (0.709, 0.192, 0.082)
O (0.719, 0.878, 0.174)
O (0.791, 0.497, 0.065)
O (0.808, 0.291, 0.418)
O (0.815, 0.653, 0.347)
O (0.855, 0.092, 0.598)
O (0.878, 0.719, 0.674)
O (0.908, 0.145, 0.902)

Output
E_form (uncorrected): -2664 meV per atom

***

# MgPO2

A PBEsol-optimized structure of MgPO2 (SCAN, Alexandria).

Cell: 2.946 2.946 16.901 Å, 90.00 90.00 120.00°
Fractional coordinates of all 12 atoms:
Mg (0.000, 0.000, 0.000)
Mg (0.333, 0.667, 0.667)
Mg (0.667, 0.333, 0.333)
P (0.000, 0.000, 0.500)
P (0.333, 0.667, 0.167)
P (0.667, 0.333, 0.833)
O (0.000, 0.000, 0.400)
O (0.000, 0.000, 0.600)
O (0.333, 0.667, 0.066)
O (0.333, 0.667, 0.267)
O (0.667, 0.333, 0.733)
O (0.667, 0.333, 0.934)

Output
E_form (uncorrected): -1908 meV per atom

***

# RbMgP2O

A PBEsol-optimized structure of RbMgP2O (SCAN, Alexandria).

Cell: 5.275 5.275 3.794 Å, 90.00 90.00 90.00°
Fractional coordinates of all 5 atoms:
Rb (0.000, 0.000, 0.000)
Mg (0.500, 0.500, 0.500)
P (0.000, 0.500, 0.500)
P (0.500, 0.000, 0.500)
O (0.500, 0.500, 0.000)

Output
E_form (uncorrected): 85 meV per atom

***

# RbMgPO4

A PBEsol-optimized structure of RbMgPO4 (SCAN, Alexandria).

Cell: 8.821 9.327 5.394 Å, 90.00 90.00 90.00°
Fractional coordinates of all 28 atoms:
Rb (0.003, 0.218, 0.000)
Rb (0.497, 0.718, 0.500)
Rb (0.503, 0.282, 0.000)
Rb (0.997, 0.782, 0.500)
Mg (0.186, 0.581, 0.015)
Mg (0.314, 0.081, 0.515)
Mg (0.686, 0.919, 0.015)
Mg (0.814, 0.419, 0.515)
P (0.205, 0.416, 0.515)
P (0.295, 0.916, 0.015)
P (0.705, 0.084, 0.515)
P (0.795, 0.584, 0.015)
O (0.030, 0.416, 0.509)
O (0.233, 0.940, 0.750)
O (0.237, 0.038, 0.186)
O (0.241, 0.771, 0.121)
O (0.259, 0.271, 0.621)
O (0.263, 0.538, 0.686)
O (0.267, 0.440, 0.250)
O (0.470, 0.916, 0.009)
O (0.530, 0.084, 0.509)
O (0.733, 0.560, 0.750)
O (0.737, 0.462, 0.186)
O (0.741, 0.729, 0.121)
O (0.759, 0.229, 0.621)
O (0.763, 0.962, 0.686)
O (0.767, 0.060, 0.250)
O (0.970, 0.584, 0.009)

Output
E_form (uncorrected): -2771 meV per atom

***

# MgTiSbP3O12

A PBEsol-optimized structure of MgTiSbP3O12 (SCAN, Alexandria).

Cell: 8.266 8.266 8.266 Å, 64.60 64.60 64.60°
Fractional coordinates of all 36 atoms:
Mg (0.000, 0.000, 0.000)
Mg (0.500, 0.500, 0.500)
Ti (0.345, 0.345, 0.345)
Ti (0.845, 0.845, 0.845)
Sb (0.160, 0.160, 0.160)
Sb (0.660, 0.660, 0.660)
P (0.063, 0.427, 0.740)
P (0.240, 0.927, 0.563)
P (0.427, 0.740, 0.063)
P (0.563, 0.240, 0.927)
P (0.740, 0.063, 0.427)
P (0.927, 0.563, 0.240)
O (0.081, 0.246, 0.910)
O (0.087, 0.925, 0.756)
O (0.112, 0.491, 0.295)
O (0.167, 0.924, 0.426)
O (0.246, 0.910, 0.081)
O (0.256, 0.425, 0.587)
O (0.295, 0.112, 0.491)
O (0.410, 0.746, 0.581)
O (0.424, 0.667, 0.926)
O (0.425, 0.587, 0.256)
O (0.426, 0.167, 0.924)
O (0.491, 0.295, 0.112)
O (0.581, 0.410, 0.746)
O (0.587, 0.256, 0.425)
O (0.612, 0.795, 0.991)
O (0.667, 0.926, 0.424)
O (0.746, 0.581, 0.410)
O (0.756, 0.087, 0.925)
O (0.795, 0.991, 0.612)
O (0.910, 0.081, 0.246)
O (0.924, 0.426, 0.167)
O (0.925, 0.756, 0.087)
O (0.926, 0.424, 0.667)
O (0.991, 0.612, 0.795)

Output
E_form (uncorrected): -2516 meV per atom